This record from Alexandria describes a relaxed structure of DyYZnAg. The functional is PBE-GGA.

Values from the calculation:
total DFT energy (no corrections) = -4.127 eV/atom
size of the total moment = 0.00 Bohr magnetons per cell
DOS(E_F) = 12.47 states/eV per cell
E_form = -1.32 eV/f.u.

Cell: 7.220 7.220 7.220 Å, 90.00 90.00 90.00°
Space group F-43m (No. 216)
Asymmetric unit:
1 Dy 0.000 0.000 0.000
2 Y 0.000 0.000 0.500
3 Zn 0.250 0.250 0.250
4 Ag 0.250 0.250 0.750

=====

This record from Alexandria describes a relaxed structure of DyZn9Ag2. The functional is PBE-GGA.

Values from the calculation:
total DFT energy (no corrections) = -1.952 eV/atom
size of the total moment = 0.00 Bohr magnetons per cell
DOS(E_F) = 10.56 states/eV per cell
E_form = -1.65 eV/f.u.

Cell: 5.2254 5.2254 24.9135 Å, 90.00 90.00 120.00°
Space group R-3m (No. 166, hexagonal axes)
Asymmetric unit:
1 Dy 0.0000 0.0000 0.0000
2 Zn 0.0000 0.0000 0.3336
3 Zn 0.0000 0.0000 0.5000
4 Zn 0.0055 0.5028 0.9139
5 Ag 0.0000 0.0000 0.1376

=====

This record from Alexandria describes a relaxed structure of DyZn3Ag2. The functional is PBE-GGA.

Values from the calculation:
total DFT energy (no corrections) = -2.566 eV/atom
size of the total moment = 0.00 Bohr magnetons per cell
DOS(E_F) = 3.77 states/eV per cell
E_form = -1.27 eV/f.u.

Cell: 4.4923 4.4923 12.6672 Å, 90.00 90.00 120.00°
Space group P6_3/mmc (No. 194)
Asymmetric unit:
1 Dy 0.0000 0.0000 0.2500
2 Zn 0.0000 0.0000 0.0000
3 Zn 0.3333 0.6667 0.1361
4 Ag 0.3333 0.6667 0.5818